! PBE LuHfCuOs, relaxed; values from VASP
&SYSTEM
  ibrav = 0, nat = 4, ntyp = 4
/
ATOMIC_SPECIES
Lu 174.97 Lu.upf
Hf 178.49 Hf.upf
Cu 63.55 Cu.upf
Os 190.23 Os.upf
ATOMIC_POSITIONS angstrom
Lu 0.000 0.000 0.000
Hf 3.304 3.304 3.304
Cu 1.652 1.652 1.652
Os 4.956 4.956 4.956
CELL_PARAMETERS angstrom
0.000 3.304 3.304
3.304 0.000 3.304
3.304 3.304 0.000
! ΔH_f (0 K)   -146 kJ/mol of formula units
! M_tot   0.00 μB per formula unit
! Symmetry   F-43m (216)

! PBE LuHfCuPd, relaxed; values from VASP
&SYSTEM
  ibrav = 0, nat = 4, ntyp = 4
/
ATOMIC_SPECIES
Lu 174.97 Lu.upf
Hf 178.49 Hf.upf
Cu 63.55 Cu.upf
Pd 106.42 Pd.upf
ATOMIC_POSITIONS angstrom
Lu 0.000 0.000 0.000
Hf 3.352 3.352 3.352
Cu 5.028 5.028 5.028
Pd 1.676 1.676 1.676
CELL_PARAMETERS angstrom
0.000 3.352 3.352
3.352 0.000 3.352
3.352 3.352 0.000
! ΔH_f (0 K)   -174 kJ/mol of formula units
! M_tot   0.00 μB per formula unit
! Symmetry   F-43m (216)

! PBE LuHfCuRe, relaxed; values from VASP
&SYSTEM
  ibrav = 0, nat = 4, ntyp = 4
/
ATOMIC_SPECIES
Lu 174.97 Lu.upf
Hf 178.49 Hf.upf
Cu 63.55 Cu.upf
Re 186.21 Re.upf
ATOMIC_POSITIONS angstrom
Lu 0.000 0.000 0.000
Hf 3.312 3.312 3.312
Cu 4.969 4.969 4.969
Re 1.656 1.656 1.656
CELL_PARAMETERS angstrom
0.000 3.312 3.312
3.312 0.000 3.312
3.312 3.312 0.000
! ΔH_f (0 K)   -67 kJ/mol of formula units
! M_tot   0.00 μB per formula unit
! Symmetry   F-43m (216)

! PBE LuHfCuRh, relaxed; values from VASP
&SYSTEM
  ibrav = 0, nat = 4, ntyp = 4
/
ATOMIC_SPECIES
Lu 174.97 Lu.upf
Hf 178.49 Hf.upf
Cu 63.55 Cu.upf
Rh 102.91 Rh.upf
ATOMIC_POSITIONS angstrom
Lu 0.000 0.000 0.000
Hf 3.316 3.316 3.316
Cu 1.658 1.658 1.658
Rh 4.974 4.974 4.974
CELL_PARAMETERS angstrom
0.000 3.316 3.316
3.316 0.000 3.316
3.316 3.316 0.000
! ΔH_f (0 K)   -212 kJ/mol of formula units
! M_tot   0.00 μB per formula unit
! Symmetry   F-43m (216)

! PBE LuHfCuTc, relaxed; values from VASP
&SYSTEM
  ibrav = 0, nat = 4, ntyp = 4
/
ATOMIC_SPECIES
Lu 174.97 Lu.upf
Hf 178.49 Hf.upf
Cu 63.55 Cu.upf
Tc 98.00 Tc.upf
ATOMIC_POSITIONS angstrom
Lu 0.000 0.000 0.000
Hf 3.308 3.308 3.308
Cu 4.962 4.962 4.962
Tc 1.654 1.654 1.654
CELL_PARAMETERS angstrom
0.000 3.308 3.308
3.308 0.000 3.308
3.308 3.308 0.000
! ΔH_f (0 K)   -98 kJ/mol of formula units
! M_tot   0.00 μB per formula unit
! Symmetry   F-43m (216)

! PBE HfMg3Cu8, relaxed; values from VASP
&SYSTEM
  ibrav = 0, nat = 12, ntyp = 3
/
ATOMIC_SPECIES
Hf 178.49 Hf.upf
Mg 24.30 Mg.upf
Cu 63.55 Cu.upf
ATOMIC_POSITIONS angstrom
Hf 0.000 0.000 0.000
Mg 0.000 0.000 3.044
Mg 2.508 1.448 3.936
Mg 2.508 1.448 6.922
Cu 0.000 1.428 5.493
Cu -1.271 3.630 5.493
Cu 0.000 2.896 3.454
Cu 0.000 2.896 7.477
Cu 2.508 0.030 1.458
Cu 1.280 2.157 1.458
Cu 1.271 3.630 5.493
Cu 3.736 2.157 1.458
CELL_PARAMETERS angstrom
5.016 0.000 0.000
-2.508 4.344 0.000
0.000 0.000 7.996
! ΔH_f (0 K)   -170 kJ/mol of formula units
! M_tot   0.00 μB per formula unit
! Symmetry   P3m1 (156)

! PBE HfMg3Cu, relaxed; values from VASP
&SYSTEM
  ibrav = 0, nat = 5, ntyp = 3
/
ATOMIC_SPECIES
Hf 178.49 Hf.upf
Mg 24.30 Mg.upf
Cu 63.55 Cu.upf
ATOMIC_POSITIONS angstrom
Hf 0.000 0.000 0.000
Mg 0.000 2.374 2.374
Mg 2.374 0.000 2.374
Mg 2.374 2.374 0.000
Cu 2.374 2.374 2.374
CELL_PARAMETERS angstrom
4.749 0.000 0.000
0.000 4.749 0.000
0.000 0.000 4.749
! E above lowest polymorph   0 meV/atom
! ΔH_f (0 K)   207 kJ/mol of formula units
! M_tot   0.00 μB per formula unit
! Symmetry   Pm-3m (221)

! PBE HfMg6Cu, relaxed; values from VASP
&SYSTEM
  ibrav = 0, nat = 8, ntyp = 3
/
ATOMIC_SPECIES
Hf 178.49 Hf.upf
Mg 24.30 Mg.upf
Cu 63.55 Cu.upf
ATOMIC_POSITIONS angstrom
Hf 0.000 0.000 0.000
Mg 0.000 -1.483 8.536
Mg 0.000 1.483 8.536
Mg 2.449 -1.494 4.543
Mg 2.449 0.000 1.729
Mg 2.449 0.000 7.110
Mg 2.449 1.494 4.543
Cu 0.000 0.000 5.338
CELL_PARAMETERS angstrom
4.897 0.000 0.000
0.000 2.960 5.703
0.000 -2.960 5.703
! E above lowest polymorph   15 meV/atom
! ΔH_f (0 K)   88 kJ/mol of formula units
! M_tot   0.00 μB per formula unit
! Symmetry   Amm2 (38)

! PBE Hf2MgCu2, relaxed; values from VASP
&SYSTEM
  ibrav = 0, nat = 5, ntyp = 3
/
ATOMIC_SPECIES
Hf 178.49 Hf.upf
Mg 24.30 Mg.upf
Cu 63.55 Cu.upf
ATOMIC_POSITIONS angstrom
Hf 0.000 0.000 2.174
Hf 0.000 0.000 15.504
Mg 0.000 0.000 8.839
Cu 1.648 0.000 4.419
Cu 0.000 1.648 4.419
CELL_PARAMETERS angstrom
-1.648 1.648 8.839
1.648 -1.648 8.839
1.648 1.648 -8.839
! ΔH_f (0 K)   132 kJ/mol of formula units
! M_tot   0.01 μB per formula unit
! Symmetry   I4/mmm (139)

! PBE Hf3MgCu, relaxed; values from VASP
&SYSTEM
  ibrav = 0, nat = 5, ntyp = 3
/
ATOMIC_SPECIES
Hf 178.49 Hf.upf
Mg 24.30 Mg.upf
Cu 63.55 Cu.upf
ATOMIC_POSITIONS angstrom
Hf 0.000 0.000 2.448
Hf 0.000 2.448 0.000
Hf 2.448 0.000 0.000
Mg 2.448 2.448 2.448
Cu 0.000 0.000 0.000
CELL_PARAMETERS angstrom
4.897 0.000 0.000
0.000 4.897 0.000
0.000 0.000 4.897
! E above lowest polymorph   0 meV/atom
! ΔH_f (0 K)   249 kJ/mol of formula units
! M_tot   0.00 μB per formula unit
! Symmetry   Pm-3m (221)

! PBE HfMg3Cu, relaxed; values from VASP
&SYSTEM
  ibrav = 0, nat = 5, ntyp = 3
/
ATOMIC_SPECIES
Hf 178.49 Hf.upf
Mg 24.30 Mg.upf
Cu 63.55 Cu.upf
ATOMIC_POSITIONS angstrom
Hf 0.000 0.000 0.000
Mg 0.000 0.000 2.806
Mg 0.000 2.806 0.000
Mg 2.806 0.000 0.000
Cu 2.806 2.806 2.806
CELL_PARAMETERS angstrom
5.612 0.000 0.000
0.000 5.612 0.000
0.000 0.000 5.612
! E above lowest polymorph   1096 meV/atom
! ΔH_f (0 K)   735 kJ/mol of formula units
! M_tot   1.56 μB per formula unit
! Symmetry   Pm-3m (221)

! PBE HfMg6Cu, relaxed; values from VASP
&SYSTEM
  ibrav = 0, nat = 8, ntyp = 3
/
ATOMIC_SPECIES
Hf 178.49 Hf.upf
Mg 24.30 Mg.upf
Cu 63.55 Cu.upf
ATOMIC_POSITIONS angstrom
Hf 0.000 0.000 0.000
Mg 0.000 0.000 5.344
Mg 0.000 -1.533 8.262
Mg 0.000 1.533 8.262
Mg 2.437 -1.555 4.363
Mg 2.437 0.000 7.095
Mg 2.437 1.555 4.363
Cu 2.437 0.000 1.419
CELL_PARAMETERS angstrom
4.875 0.000 0.000
0.000 3.031 5.606
0.000 -3.031 5.606
! E above lowest polymorph   0 meV/atom
! ΔH_f (0 K)   76 kJ/mol of formula units
! M_tot   0.00 μB per formula unit
! Symmetry   Amm2 (38)

! PBE HfMg6CuO8, relaxed; values from VASP
&SYSTEM
  ibrav = 0, nat = 16, ntyp = 4
/
ATOMIC_SPECIES
Hf 178.49 Hf.upf
Mg 24.30 Mg.upf
Cu 63.55 Cu.upf
O 16.00 O.upf
ATOMIC_POSITIONS angstrom
Hf 0.000 0.000 0.000
Mg 0.000 0.000 4.485
Mg 0.000 2.142 2.334
Mg 0.000 2.142 6.637
Mg 2.142 0.000 2.334
Mg 2.142 0.000 6.637
Mg 2.142 2.142 4.485
Cu 2.142 2.142 0.000
O 0.000 0.000 2.257
O 0.000 0.000 6.714
O 0.000 2.142 0.000
O 0.000 2.142 4.485
O 2.142 0.000 0.000
O 2.142 0.000 4.485
O 2.142 2.142 2.432
O 2.142 2.142 6.538
CELL_PARAMETERS angstrom
4.283 0.000 0.000
0.000 4.283 0.000
0.000 0.000 8.970
! E above lowest polymorph   0 meV/atom
! Energy relative to the elements, uncorrected   -38.07 eV per formula unit
! M_tot   0.00 μB per formula unit
! Symmetry   P4/mmm (123)

! PBE HfMg6CuO8, relaxed; values from VASP
&SYSTEM
  ibrav = 0, nat = 16, ntyp = 4
/
ATOMIC_SPECIES
Hf 178.49 Hf.upf
Mg 24.30 Mg.upf
Cu 63.55 Cu.upf
O 16.00 O.upf
ATOMIC_POSITIONS angstrom
Hf 0.000 0.000 0.000
Mg 0.000 2.154 2.477
Mg 0.000 2.154 6.606
Mg 2.154 0.000 2.477
Mg 2.154 0.000 6.606
Mg 2.154 2.154 0.000
Mg 2.154 2.154 4.542
Cu 0.000 0.000 4.542
O 0.000 0.000 2.061
O 0.000 0.000 7.022
O 0.000 2.154 0.000
O 0.000 2.154 4.542
O 2.154 0.000 0.000
O 2.154 0.000 4.542
O 2.154 2.154 2.288
O 2.154 2.154 6.795
CELL_PARAMETERS angstrom
4.309 0.000 0.000
0.000 4.309 0.000
0.000 0.000 9.083
! E above lowest polymorph   14 meV/atom
! Energy relative to the elements, uncorrected   -37.84 eV per formula unit
! M_tot   0.00 μB per formula unit
! Symmetry   P4/mmm (123)

! PBE HfMgCuRu, relaxed; values from VASP
&SYSTEM
  ibrav = 0, nat = 4, ntyp = 4
/
ATOMIC_SPECIES
Hf 178.49 Hf.upf
Mg 24.30 Mg.upf
Cu 63.55 Cu.upf
Ru 101.07 Ru.upf
ATOMIC_POSITIONS angstrom
Hf 0.000 0.000 0.000
Mg 3.188 3.188 3.188
Cu 4.782 4.782 4.782
Ru 1.594 1.594 1.594
CELL_PARAMETERS angstrom
0.000 3.188 3.188
3.188 0.000 3.188
3.188 3.188 0.000
! ΔH_f (0 K)   -100 kJ/mol of formula units
! M_tot   0.00 μB per formula unit
! Symmetry   F-43m (216)

! PBE HfMgZrCu, relaxed; values from VASP
&SYSTEM
  ibrav = 0, nat = 4, ntyp = 4
/
ATOMIC_SPECIES
Hf 178.49 Hf.upf
Mg 24.30 Mg.upf
Zr 91.22 Zr.upf
Cu 63.55 Cu.upf
ATOMIC_POSITIONS angstrom
Hf 0.000 0.000 0.000
Mg 0.000 0.000 3.369
Zr 1.580 1.580 5.832
Cu 1.580 1.580 1.710
CELL_PARAMETERS angstrom
3.159 0.000 0.000
0.000 3.159 0.000
0.000 0.000 7.970
! ΔH_f (0 K)   -42 kJ/mol of formula units
! M_tot   0.00 μB per formula unit
! Symmetry   P4mm (99)

! PBE Hf2MgZrCu, relaxed; values from VASP
&SYSTEM
  ibrav = 0, nat = 5, ntyp = 4
/
ATOMIC_SPECIES
Hf 178.49 Hf.upf
Mg 24.30 Mg.upf
Zr 91.22 Zr.upf
Cu 63.55 Cu.upf
ATOMIC_POSITIONS angstrom
Hf 0.000 2.460 0.000
Hf 2.460 0.000 0.000
Mg 0.000 0.000 2.329
Zr 2.460 2.460 2.329
Cu 0.000 0.000 0.000
CELL_PARAMETERS angstrom
4.919 0.000 0.000
0.000 4.919 0.000
0.000 0.000 4.657
! ΔH_f (0 K)   242 kJ/mol of formula units
! M_tot   0.76 μB per formula unit
! Symmetry   P4/mmm (123)

! PBE Hf4Mn3Cu, relaxed; values from VASP
&SYSTEM
  ibrav = 0, nat = 8, ntyp = 3
/
ATOMIC_SPECIES
Hf 178.49 Hf.upf
Mn 54.94 Mn.upf
Cu 63.55 Cu.upf
ATOMIC_POSITIONS angstrom
Hf 0.000 0.000 0.000
Hf 0.000 0.000 4.449
Hf 0.000 2.272 2.152
Hf 0.000 2.272 6.746
Mn 1.593 0.000 2.233
Mn 1.593 0.000 6.665
Mn 1.593 2.272 0.000
Cu 1.593 2.272 4.449
CELL_PARAMETERS angstrom
3.186 0.000 0.000
0.000 4.544 0.000
0.000 0.000 8.898
! ΔH_f (0 K)   -95 kJ/mol of formula units
! M_tot   1.47 μB per formula unit
! Symmetry   Pmmm (47)

! PBE Hf2MnCu, relaxed; values from VASP
&SYSTEM
  ibrav = 0, nat = 4, ntyp = 3
/
ATOMIC_SPECIES
Hf 178.49 Hf.upf
Mn 54.94 Mn.upf
Cu 63.55 Cu.upf
ATOMIC_POSITIONS angstrom
Hf 0.000 0.000 1.523
Hf 0.000 0.000 4.927
Mn 1.596 1.596 0.000
Cu 1.596 1.596 3.225
CELL_PARAMETERS angstrom
3.192 0.000 0.000
0.000 3.192 0.000
0.000 0.000 6.450
! ΔH_f (0 K)   -67 kJ/mol of formula units
! M_tot   0.00 μB per formula unit
! Symmetry   P4/mmm (123)

! PBE Hf2Mn2Cu, relaxed; values from VASP
&SYSTEM
  ibrav = 0, nat = 10, ntyp = 3
/
ATOMIC_SPECIES
Hf 178.49 Hf.upf
Mn 54.94 Mn.upf
Cu 63.55 Cu.upf
ATOMIC_POSITIONS angstrom
Hf 1.155 2.011 0.000
Hf 2.011 5.177 0.000
Hf 4.321 1.155 0.000
Hf 5.177 4.321 0.000
Mn 0.722 3.888 1.967
Mn 2.445 0.722 1.967
Mn 3.888 5.611 1.967
Mn 5.611 2.445 1.967
Cu 0.000 0.000 1.967
Cu 3.166 3.166 1.967
CELL_PARAMETERS angstrom
6.332 0.000 0.000
0.000 6.332 0.000
0.000 0.000 3.934
! ΔH_f (0 K)   -11 kJ/mol of formula units
! M_tot   0.68 μB per formula unit
! Symmetry   P4/mbm (127)

! PBE HfMn2Cu, relaxed; values from VASP
&SYSTEM
  ibrav = 0, nat = 4, ntyp = 3
/
ATOMIC_SPECIES
Hf 178.49 Hf.upf
Mn 54.94 Mn.upf
Cu 63.55 Cu.upf
ATOMIC_POSITIONS angstrom
Hf 0.000 0.000 0.000
Mn 1.530 1.530 1.530
Mn 4.591 4.591 4.591
Cu 3.060 3.060 3.060
CELL_PARAMETERS angstrom
0.000 3.060 3.060
3.060 0.000 3.060
3.060 3.060 0.000
! E above lowest polymorph   0 meV/atom
! ΔH_f (0 K)   52 kJ/mol of formula units
! M_tot   4.76 μB per formula unit
! Symmetry   Fm-3m (225)

! PBE Hf3MnCu, relaxed; values from VASP
&SYSTEM
  ibrav = 0, nat = 5, ntyp = 3
/
ATOMIC_SPECIES
Hf 178.49 Hf.upf
Mn 54.94 Mn.upf
Cu 63.55 Cu.upf
ATOMIC_POSITIONS angstrom
Hf 0.000 0.000 2.381
Hf 0.000 2.381 0.000
Hf 2.381 0.000 0.000
Mn 2.381 2.381 2.381
Cu 0.000 0.000 0.000
CELL_PARAMETERS angstrom
4.762 0.000 0.000
0.000 4.762 0.000
0.000 0.000 4.762
! E above lowest polymorph   520 meV/atom
! ΔH_f (0 K)   517 kJ/mol of formula units
! M_tot   0.08 μB per formula unit
! Symmetry   Pm-3m (221)

! PBE HfMn2Cu, relaxed; values from VASP
&SYSTEM
  ibrav = 0, nat = 8, ntyp = 3
/
ATOMIC_SPECIES
Hf 178.49 Hf.upf
Mn 54.94 Mn.upf
Cu 63.55 Cu.upf
ATOMIC_POSITIONS angstrom
Hf 0.000 0.000 0.000
Hf 0.000 1.847 4.446
Mn 0.923 -0.593 6.668
Mn 1.254 0.923 2.223
Mn 0.923 2.439 -2.223
Mn 0.593 0.923 11.114
Cu 1.847 0.000 4.446
Cu 0.000 0.000 8.891
CELL_PARAMETERS angstrom
-1.847 1.847 8.891
1.847 -1.847 8.891
1.847 1.847 -8.891
! E above lowest polymorph   367 meV/atom
! ΔH_f (0 K)   193 kJ/mol of formula units
! M_tot   1.98 μB per formula unit
! Symmetry   I-42d (122)

! PBE HfMn3Cu, relaxed; values from VASP
&SYSTEM
  ibrav = 0, nat = 5, ntyp = 3
/
ATOMIC_SPECIES
Hf 178.49 Hf.upf
Mn 54.94 Mn.upf
Cu 63.55 Cu.upf
ATOMIC_POSITIONS angstrom
Hf 0.000 0.000 0.000
Mn 0.000 0.000 2.360
Mn 0.000 2.360 0.000
Mn 2.360 0.000 0.000
Cu 2.360 2.360 2.360
CELL_PARAMETERS angstrom
4.720 0.000 0.000
0.000 4.720 0.000
0.000 0.000 4.720
! E above lowest polymorph   718 meV/atom
! ΔH_f (0 K)   751 kJ/mol of formula units
! M_tot   9.27 μB per formula unit
! Symmetry   Pm-3m (221)

! PBE HfMn3Cu, relaxed; values from VASP
&SYSTEM
  ibrav = 0, nat = 5, ntyp = 3
/
ATOMIC_SPECIES
Hf 178.49 Hf.upf
Mn 54.94 Mn.upf
Cu 63.55 Cu.upf
ATOMIC_POSITIONS angstrom
Hf 0.000 0.000 0.000
Mn 0.000 2.230 2.230
Mn 2.230 0.000 2.230
Mn 2.230 2.230 0.000
Cu 2.230 2.230 2.230
CELL_PARAMETERS angstrom
4.460 0.000 0.000
0.000 4.460 0.000
0.000 0.000 4.460
! E above lowest polymorph   0 meV/atom
! ΔH_f (0 K)   405 kJ/mol of formula units
! M_tot   9.65 μB per formula unit
! Symmetry   Pm-3m (221)

! PBE Hf6Mn2Cu, relaxed; values from VASP
&SYSTEM
  ibrav = 0, nat = 18, ntyp = 3
/
ATOMIC_SPECIES
Hf 178.49 Hf.upf
Mn 54.94 Mn.upf
Cu 63.55 Cu.upf
ATOMIC_POSITIONS angstrom
Hf 4.262 -2.679 2.966
Hf 2.591 0.000 2.245
Hf 5.932 0.000 2.245
Hf 2.673 2.355 0.000
Hf 5.850 2.355 0.000
Hf 0.000 1.682 1.612
Hf 4.262 2.679 2.966
Hf -1.588 2.006 4.579
Hf 1.588 2.006 4.579
Hf -1.671 4.361 2.333
Hf 1.671 4.361 2.333
Hf 0.000 7.041 1.612
Mn 1.419 0.000 0.000
Mn 7.104 0.000 0.000
Mn 0.000 0.000 3.562
Mn 0.000 0.000 5.595
Cu 4.262 0.000 0.000
Cu 0.000 4.361 0.000
CELL_PARAMETERS angstrom
-4.262 4.361 4.579
4.262 -4.361 4.579
4.262 4.361 -4.579
! ΔH_f (0 K)   -49 kJ/mol of formula units
! M_tot   0.31 μB per formula unit
! Symmetry   Immm (71)